# 1
The following is a DFT calculation (SCAN) of a crystal of NaMg2ZnB relaxed with PBEsol.

a = 4.923 Å, b = 4.923 Å, c = 5.122 Å
α = 90.00°, β = 90.00°, γ = 90.00°
Atoms (fractional coordinates):
Na: 0.000 0.000 0.000
Mg: 0.000 0.500 0.500
Mg: 0.500 0.000 0.500
Zn: 0.000 0.000 0.500
B: 0.500 0.500 0.000

Properties
- Fermi-level density of states: 2.253 states/eV/cell
- M_tot: 0.00 μB/cell
- E: -5.926 eV/atom

=====

# 2
The following is a DFT calculation (SCAN) of a crystal of La2CdSe relaxed with PBEsol.

a = 6.167 Å, b = 6.167 Å, c = 4.893 Å
α = 90.57°, β = 90.57°, γ = 36.87°
Atoms (fractional coordinates):
La: 0.000 0.000 0.000
La: 0.749 0.749 0.505
Cd: 0.486 0.486 0.499
Se: 0.266 0.266 0.005

Properties
- Fermi-level density of states: 2.678 states/eV/cell
- M_tot: 0.00 μB/cell
- E_form (uncorrected): -1.087 eV/atom
- Excess energy over the best structure of this formula in the dataset: 0.129 eV/atom

=====

# 3
The following is a DFT calculation (SCAN) of a crystal of GaSnI2N relaxed with PBEsol.

a = 6.046 Å, b = 6.046 Å, c = 3.876 Å
α = 90.00°, β = 90.00°, γ = 90.00°
Atoms (fractional coordinates):
Ga: 0.000 0.000 0.000
Sn: 0.500 0.500 0.500
I: 0.000 0.500 0.500
I: 0.500 0.000 0.500
N: 0.500 0.500 0.000

Properties
- Fermi-level density of states: 1.514 states/eV/cell
- M_tot: 0.00 μB/cell
- E_form (uncorrected): 0.440 eV/atom

=====

# 4
The following is a DFT calculation (SCAN) of a crystal of La5Pb3 relaxed with PBEsol.

a = 9.496 Å, b = 9.496 Å, c = 6.869 Å
α = 90.00°, β = 90.00°, γ = 120.00°
Atoms (fractional coordinates):
La: 0.000 0.244 0.250
La: 0.000 0.756 0.750
La: 0.244 0.000 0.250
La: 0.244 0.244 0.750
La: 0.333 0.667 0.000
La: 0.333 0.667 0.500
La: 0.667 0.333 0.000
La: 0.667 0.333 0.500
La: 0.756 0.000 0.750
La: 0.756 0.756 0.250
Pb: 0.000 0.392 0.750
Pb: 0.000 0.608 0.250
Pb: 0.392 0.000 0.750
Pb: 0.392 0.392 0.250
Pb: 0.608 0.000 0.250
Pb: 0.608 0.608 0.750

Properties
- Fermi-level density of states: 15.091 states/eV/cell
- M_tot: 1.65 μB/cell
- E: -56.180 eV/atom

=====

Question: Look up the M_tot of the first one.
Answer: 0.00 μB/cell

=====

What did the second record say?
The following is a DFT calculation (SCAN) of a crystal of La2CdSe relaxed with PBEsol.

a = 6.167 Å, b = 6.167 Å, c = 4.893 Å
α = 90.57°, β = 90.57°, γ = 36.87°
Atoms (fractional coordinates):
La: 0.000 0.000 0.000
La: 0.749 0.749 0.505
Cd: 0.486 0.486 0.499
Se: 0.266 0.266 0.005

Properties
- Fermi-level density of states: 2.678 states/eV/cell
- M_tot: 0.00 μB/cell
- E_form (uncorrected): -1.087 eV/atom
- Excess energy over the best structure of this formula in the dataset: 0.129 eV/atom